Here is a relaxed structure of MgGaRh2 from Alexandria. Energies are from PBE-GGA.

Calculated values
DFT total energy in eV/atom: -4.9991
ΔH_f (0 K) in eV/atom: -0.168
Space group: I-42d (122)

Cell and atoms, written as POSCAR:
```
MgGaRh2
1.0
-3.415 3.415 2.825
3.415 -3.415 2.825
3.415 3.415 -2.825
Mg Ga Rh
2 2 4
Direct
0.000 0.000 0.000 Mg
0.750 0.250 0.500 Mg
0.250 0.750 0.500 Ga
0.500 0.500 0.000 Ga
0.152 0.625 0.027 Rh
0.375 0.402 0.527 Rh
0.598 0.125 0.973 Rh
0.875 0.848 0.473 Rh
```


Here is a relaxed structure of Mg5Ga2Rh4 from Alexandria. Energies are from PBE-GGA.

Calculated values
DFT total energy in eV/atom: -4.4855
ΔH_f (0 K) in eV/atom: -0.537
Space group: P-1 (2)
Energy above the most stable polymorph in this dataset in eV per atom: 0.000

Cell and atoms, written as POSCAR:
```
Mg5Ga2Rh4
1.0
3.027 0.000 0.000
1.035 7.961 0.000
1.386 3.770 7.528
Mg Ga Rh
5 2 4
Direct
0.000 0.000 0.000 Mg
0.066 0.045 0.316 Mg
0.278 0.648 0.337 Mg
0.722 0.352 0.663 Mg
0.934 0.955 0.684 Mg
0.059 0.561 0.816 Ga
0.941 0.439 0.184 Ga
0.397 0.253 0.445 Rh
0.447 0.708 0.977 Rh
0.553 0.292 0.023 Rh
0.603 0.747 0.555 Rh
```


Here is a relaxed structure of MgGa3Rh2 from Alexandria. Energies are from PBE-GGA.

Calculated values
DFT total energy in eV/atom: -4.7587
ΔH_f (0 K) in eV/atom: -0.529
Space group: Cmcm (63)
Energy above the most stable polymorph in this dataset in eV per atom: 0.000

Cell and atoms, written as POSCAR:
```
MgGa3Rh2
1.0
4.474 -4.223 0.000
4.474 4.223 0.000
0.000 0.000 5.711
Mg Ga Rh
2 6 4
Direct
0.011 0.989 0.750 Mg
0.989 0.011 0.250 Mg
0.006 0.507 0.250 Ga
0.493 0.994 0.250 Ga
0.495 0.505 0.750 Ga
0.505 0.495 0.250 Ga
0.507 0.006 0.750 Ga
0.994 0.493 0.750 Ga
0.264 0.264 0.000 Rh
0.264 0.264 0.500 Rh
0.736 0.736 0.000 Rh
0.736 0.736 0.500 Rh
```


Here is a relaxed structure of Mg3Ga3Rh2 from Alexandria. Energies are from PBE-GGA.

Calculated values
DFT total energy in eV/atom: -4.0351
ΔH_f (0 K) in eV/atom: -0.464
Space group: Cmcm (63)
Energy above the most stable polymorph in this dataset in eV per atom: 0.021

Cell and atoms, written as POSCAR:
```
Mg3Ga3Rh2
1.0
1.582 -5.115 0.000
1.582 5.115 0.000
0.000 0.000 16.671
Mg Ga Rh
6 6 4
Direct
0.037 0.963 0.619 Mg
0.037 0.963 0.881 Mg
0.358 0.642 0.750 Mg
0.642 0.358 0.250 Mg
0.963 0.037 0.119 Mg
0.963 0.037 0.381 Mg
0.362 0.638 0.518 Ga
0.362 0.638 0.982 Ga
0.370 0.630 0.250 Ga
0.630 0.370 0.750 Ga
0.638 0.362 0.018 Ga
0.638 0.362 0.482 Ga
0.239 0.761 0.121 Rh
0.239 0.761 0.379 Rh
0.761 0.239 0.621 Rh
0.761 0.239 0.879 Rh
```


Here is a relaxed structure of Mg2Ga3Rh2 from Alexandria. Energies are from PBE-GGA.

Calculated values
DFT total energy in eV/atom: -4.3989
ΔH_f (0 K) in eV/atom: -0.546
Space group: C2/m (12)

Cell and atoms, written as POSCAR:
```
Mg2Ga3Rh2
1.0
4.772 -1.929 0.000
4.772 1.929 0.000
-2.463 0.000 6.469
Mg Ga Rh
2 3 2
Direct
0.149 0.149 0.296 Mg
0.851 0.851 0.704 Mg
0.367 0.367 0.044 Ga
0.500 0.500 0.500 Ga
0.633 0.633 0.956 Ga
0.139 0.139 0.705 Rh
0.861 0.861 0.295 Rh
```


Here is a relaxed structure of Mg6Ga12Rh from Alexandria. Energies are from PBE-GGA.

Calculated values
DFT total energy in eV/atom: -2.9535
ΔH_f (0 K) in eV/atom: -0.151
Space group: R-3 (148)

Cell and atoms, written as POSCAR:
```
Mg6Ga12Rh
1.0
5.348 3.088 3.577
-5.348 3.088 3.577
0.000 -6.175 3.577
Mg Ga Rh
6 12 1
Direct
0.213 0.379 0.756 Mg
0.244 0.787 0.621 Mg
0.379 0.756 0.213 Mg
0.621 0.244 0.787 Mg
0.756 0.213 0.379 Mg
0.787 0.621 0.244 Mg
0.033 0.962 0.297 Ga
0.038 0.703 0.967 Ga
0.129 0.443 0.369 Ga
0.297 0.033 0.962 Ga
0.369 0.129 0.443 Ga
0.443 0.369 0.129 Ga
0.557 0.631 0.871 Ga
0.631 0.871 0.557 Ga
0.703 0.967 0.038 Ga
0.871 0.557 0.631 Ga
0.962 0.297 0.033 Ga
0.967 0.038 0.703 Ga
0.500 0.500 0.500 Rh
```


Here is a relaxed structure of Mg3Ga3Rh2 from Alexandria. Energies are from PBE-GGA.

Calculated values
DFT total energy in eV/atom: -4.0559
ΔH_f (0 K) in eV/atom: -0.485
Space group: Pnma (62)
Energy above the most stable polymorph in this dataset in eV per atom: 0.000

Cell and atoms, written as POSCAR:
```
Mg3Ga3Rh2
1.0
7.576 0.000 0.000
0.000 14.278 0.000
0.000 0.000 5.313
Mg Ga Rh
12 12 8
Direct
0.037 0.113 0.101 Mg
0.037 0.387 0.101 Mg
0.167 0.250 0.635 Mg
0.333 0.750 0.135 Mg
0.463 0.613 0.601 Mg
0.463 0.887 0.601 Mg
0.537 0.113 0.399 Mg
0.537 0.387 0.399 Mg
0.667 0.250 0.865 Mg
0.833 0.750 0.365 Mg
0.963 0.613 0.899 Mg
0.963 0.887 0.899 Mg
0.176 0.750 0.650 Ga
0.178 0.036 0.597 Ga
0.178 0.464 0.597 Ga
0.322 0.536 0.097 Ga
0.322 0.964 0.097 Ga
0.324 0.250 0.150 Ga
0.676 0.750 0.850 Ga
0.678 0.036 0.903 Ga
0.678 0.464 0.903 Ga
0.822 0.536 0.403 Ga
0.822 0.964 0.403 Ga
0.824 0.250 0.350 Ga
0.115 0.614 0.382 Rh
0.115 0.886 0.382 Rh
0.385 0.114 0.882 Rh
0.385 0.386 0.882 Rh
0.615 0.614 0.118 Rh
0.615 0.886 0.118 Rh
0.885 0.114 0.618 Rh
0.885 0.386 0.618 Rh
```


Here is a relaxed structure of Mg5GaRh from Alexandria. Energies are from PBE-GGA.

Calculated values
DFT total energy in eV/atom: -2.5472
ΔH_f (0 K) in eV/atom: 0.074
Space group: C2/c (15)

Cell and atoms, written as POSCAR:
```
Mg5GaRh
1.0
5.801 -3.930 0.000
5.801 3.930 0.000
-4.372 0.000 8.356
Mg Ga Rh
10 2 2
Direct
0.072 0.928 0.750 Mg
0.214 0.272 0.639 Mg
0.272 0.214 0.139 Mg
0.288 0.667 0.040 Mg
0.333 0.712 0.460 Mg
0.667 0.288 0.540 Mg
0.712 0.333 0.960 Mg
0.728 0.786 0.861 Mg
0.786 0.728 0.361 Mg
0.928 0.072 0.250 Mg
0.424 0.576 0.750 Ga
0.576 0.424 0.250 Ga
0.000 0.000 0.000 Rh
0.000 0.000 0.500 Rh
```


Here is a relaxed structure of Mg2Ga2Rh from Alexandria. Energies are from PBE-GGA.

Calculated values
DFT total energy in eV/atom: -3.6165
ΔH_f (0 K) in eV/atom: -0.298
Space group: P4/mbm (127)
Energy above the most stable polymorph in this dataset in eV per atom: 0.039

Cell and atoms, written as POSCAR:
```
Mg2Ga2Rh
1.0
6.511 0.000 0.000
0.000 6.511 0.000
0.000 0.000 4.206
Mg Ga Rh
4 4 2
Direct
0.174 0.326 0.000 Mg
0.326 0.826 0.000 Mg
0.674 0.174 0.000 Mg
0.826 0.674 0.000 Mg
0.137 0.637 0.500 Ga
0.363 0.137 0.500 Ga
0.637 0.863 0.500 Ga
0.863 0.363 0.500 Ga
0.000 0.000 0.500 Rh
0.500 0.500 0.500 Rh
```


Here is a relaxed structure of MgGa3Rh from Alexandria. Energies are from PBE-GGA.

Calculated values
DFT total energy in eV/atom: -3.9738
ΔH_f (0 K) in eV/atom: -0.368
Space group: P2_1/c (14)
Energy above the most stable polymorph in this dataset in eV per atom: 0.000

Cell and atoms, written as POSCAR:
```
MgGa3Rh
1.0
6.606 0.000 0.000
0.000 5.732 0.000
-2.168 0.000 8.929
Mg Ga Rh
4 12 4
Direct
0.169 0.062 0.254 Mg
0.169 0.438 0.754 Mg
0.831 0.562 0.246 Mg
0.831 0.938 0.746 Mg
0.061 0.718 0.030 Ga
0.061 0.782 0.530 Ga
0.277 0.561 0.367 Ga
0.277 0.939 0.867 Ga
0.379 0.154 0.563 Ga
0.379 0.346 0.063 Ga
0.621 0.654 0.937 Ga
0.621 0.846 0.437 Ga
0.723 0.061 0.133 Ga
0.723 0.439 0.633 Ga
0.939 0.218 0.470 Ga
0.939 0.282 0.970 Ga
0.453 0.737 0.665 Rh
0.453 0.763 0.165 Rh
0.547 0.237 0.835 Rh
0.547 0.263 0.335 Rh
```


Here is a relaxed structure of Mg2GaRh2 from Alexandria. Energies are from PBE-GGA.

Calculated values
DFT total energy in eV/atom: -4.6600
ΔH_f (0 K) in eV/atom: -0.476
Space group: C2/m (12)

Cell and atoms, written as POSCAR:
```
Mg2GaRh2
1.0
4.919 -1.531 0.000
4.919 1.531 0.000
-4.310 0.000 5.376
Mg Ga Rh
2 1 2
Direct
0.174 0.174 0.242 Mg
0.826 0.826 0.758 Mg
0.000 0.000 0.500 Ga
0.414 0.414 0.155 Rh
0.586 0.586 0.845 Rh
```


Here is a relaxed structure of MgGaRh2 from Alexandria. Energies are from PBE-GGA.

Calculated values
DFT total energy in eV/atom: -5.5298
ΔH_f (0 K) in eV/atom: -0.699
Space group: I4/mmm (139)

Cell and atoms, written as POSCAR:
```
MgGaRh2
1.0
-2.164 2.164 3.056
2.164 -2.164 3.056
2.164 2.164 -3.056
Mg Ga Rh
1 1 2
Direct
0.000 0.000 0.000 Mg
0.500 0.500 0.000 Ga
0.250 0.750 0.500 Rh
0.750 0.250 0.500 Rh
```


Q: What is the formula in the tenth record?
A: MgGa3Rh